This record from the Alexandria database describes a geometry-optimized HoErMnCd structure. The functional is PBE.

Structure (POSCAR):
```
HoErMnCd
1.0
-4.4021 -2.0527 1.6368
-2.1365 -3.8772 -2.5834
-0.0368 -4.7117 2.0172
Ho Mn Er Cd
1 1 1 1
Cartesian
-3.2877 -5.3208 0.5353 Ho
-1.6438 -2.6604 0.2677 Mn
0.0000 0.0000 0.0000 Er
-4.9315 -7.9812 0.8030 Cd
```

Computed properties:
For the formation enthalpy at 0 K, the calculation gives -16.1 meV/atom.

=====

This record from the Alexandria database describes a geometry-optimized SrScSi4 structure. The functional is PBE.

Structure (POSCAR):
```
SrScSi4
1.0
-0.5451 1.8422 5.0058
-4.1631 -1.5655 2.9944
0.7786 -3.2852 4.1653
Si Sc Sr
4 1 1
Cartesian
-1.7387 -0.1629 7.0985 Si
-1.4569 -1.1154 4.5102 Si
-1.0543 -2.8140 6.6639 Si
-3.6094 -1.9248 6.0585 Si
0.0000 0.0000 0.0000 Sc
-2.9472 -2.2564 9.1241 Sr
```

Computed properties:
The calculation puts the formation energy without anion corrections at -11.9 kJ/mol of atoms.

=====

This record from the Alexandria database describes a geometry-optimized Th4CoSN2 structure. The functional is PBE.

Structure (POSCAR):
```
Th4CoSN2
1.0
3.7246 0.0000 0.0000
0.0000 6.7988 -0.1555
0.0000 2.3744 6.3171
Th Co S N
4 1 1 2
Cartesian
1.8623 5.8766 1.3525 Th
3.7246 2.1682 1.5591 Th
0.0000 7.0049 4.6025 Th
1.8623 3.2966 4.8091 Th
1.8623 3.3994 -0.0778 Co
0.0000 4.5865 3.0808 S
0.0000 2.3744 6.3171 N
1.8623 1.1872 3.1585 N
```

Computed properties:
The calculation puts the formation energy without anion corrections at -114.6 kJ/mol of atoms.

=====

This record from the Alexandria database describes a geometry-optimized Zr3Te structure. The functional is PBE.

Structure (POSCAR):
```
Zr3Te
1.0
-5.7098 9.5760 -0.6400
-5.2485 7.8149 -6.0076
-10.4158 7.9174 -3.4928
Zr Te
9 3
Cartesian
-11.5085 14.5790 -7.3053 Zr
-17.7095 20.3929 -8.2127 Zr
-14.2116 16.3555 -6.5875 Zr
-3.6669 4.9164 -1.9282 Zr
-7.1664 8.9533 -3.5534 Zr
-9.8680 10.7320 -2.8360 Zr
-11.7448 15.4812 -4.5556 Zr
-9.6316 9.8297 -5.5859 Zr
-10.6887 12.6551 -5.0706 Zr
-19.3681 22.6746 -9.1039 Te
-10.4126 7.9181 -3.4928 Te
-2.0073 2.6334 -1.0365 Te
```

Computed properties:
The calculation puts the formation energy without anion corrections at -26.4 kJ/mol of atoms.

=====

This record from the Alexandria database describes a geometry-optimized MgGaGe2 structure. The functional is PBE.

Structure (POSCAR):
```
MgGaGe2
1.0
-3.3184 -1.4293 -1.1147
-0.5652 -3.7381 0.0626
-3.5905 -1.2706 5.9046
Ge Ga Mg
2 1 1
Cartesian
-5.6784 -4.8142 3.8378 Ge
-1.7957 -1.6238 1.0146 Ge
0.0000 0.0000 0.0000 Ga
-3.7370 -3.2190 2.4262 Mg
```

Computed properties:
For the formation enthalpy at 0 K, the calculation gives 121.0 meV/atom.

=====

This record from the Alexandria database describes a geometry-optimized Zr2PaAl structure. The functional is PBE.

Structure (POSCAR):
```
Zr2PaAl
1.0
-1.3408 -3.9469 -2.8824
3.5614 -2.9588 -2.0605
0.6684 -4.6627 1.6185
Al Zr Pa
1 2 1
Cartesian
2.1657 -8.7105 -2.4460 Al
0.7245 -2.8187 -0.9326 Zr
0.6692 -4.6385 1.5850 Zr
1.4426 -5.8477 -1.5744 Pa
```

Computed properties:
For the formation enthalpy at 0 K, the calculation gives 24.8 meV/atom.

=====

This record from the Alexandria database describes a geometry-optimized PrNd4Ru structure. The functional is PBE.

Structure (POSCAR):
```
PrNd4Ru
1.0
4.8550 -0.4833 0.0000
0.4833 4.8550 0.0000
-0.0001 0.0000 9.0321
Nd Ru Pr
4 1 1
Cartesian
5.0966 1.9441 6.2193 Nd
2.9108 4.6133 2.8128 Nd
2.4274 -0.2417 6.2193 Nd
0.2417 2.4275 2.8128 Nd
2.6691 2.1858 4.5160 Ru
0.0000 0.0000 0.0000 Pr
```

Computed properties:
For the formation enthalpy at 0 K, the calculation gives 239.9 meV/atom.

=====

This record from the Alexandria database describes a geometry-optimized CeMgNi10 structure. The functional is PBE.

Structure (POSCAR):
```
CeMgNi10
1.0
-3.7764 -1.1333 -0.6485
1.2208 -1.5589 -4.3848
1.7094 -7.4928 3.1398
Ni Mg Ce
10 1 1
Cartesian
-0.5406 -3.6347 -2.8101 Ni
1.1321 -4.9627 2.0796 Ni
0.9075 -2.0819 -1.6466 Ni
-1.2778 -1.3461 -2.5166 Ni
-1.1476 -2.8595 -0.6299 Ni
-1.0335 -4.3130 1.2457 Ni
-0.3056 -6.5503 0.9167 Ni
2.0226 -6.9699 0.4017 Ni
0.5772 -2.5302 1.0603 Ni
0.3014 -7.3255 -1.2635 Ni
1.4651 -4.5259 -0.6225 Mg
0.0000 0.0000 0.0000 Ce
```

Computed properties:
For the formation enthalpy at 0 K, the calculation gives -179.9 meV/atom.

=====

This record from the Alexandria database describes a geometry-optimized NaCd8Ga2 structure. The functional is PBE.

Structure (POSCAR):
```
NaCd8Ga2
1.0
4.9021 0.8172 0.0000
1.3291 7.7721 0.0000
0.6645 3.8860 6.9831
Cd Ga Na
8 2 1
Cartesian
4.5213 2.2828 1.5958 Cd
5.1859 6.1688 5.3873 Cd
2.3744 10.1926 5.3873 Cd
2.0272 3.3125 0.0000 Cd
3.7801 8.1807 3.1340 Cd
1.7099 6.3065 1.5958 Cd
4.2040 5.2768 0.0000 Cd
3.1156 4.2947 3.8491 Cd
1.3291 7.7721 4.3494 Ga
0.6645 3.8860 2.6337 Ga
2.4510 0.4086 0.0000 Na
```

Computed properties:
For the formation enthalpy at 0 K, the calculation gives 51.0 meV/atom.

=====

This record from the Alexandria database describes a geometry-optimized RbBePbF6 structure. The functional is PBE.

Structure (POSCAR):
```
RbBePbF6
1.0
-1.6408 -4.8350 -2.1013
1.9247 -4.7240 2.1125
-4.5630 -0.1311 3.8646
F Pb Be Rb
6 1 1 1
Cartesian
-3.5455 -2.0734 2.0210 F
-2.3122 -3.1833 0.1411 F
-0.9004 -1.9950 1.8482 F
-2.0658 -3.1717 3.7308 F
-0.9089 -4.5070 1.7531 F
-3.3879 -4.5803 2.1221 F
-2.0921 -6.4380 1.9397 Pb
-2.1868 -3.2518 1.9361 Be
-6.2037 -4.9660 1.7633 Rb
```

Computed properties:
The calculation puts the formation energy without anion corrections at -241.3 kJ/mol of atoms.

=====

This record from the Alexandria database describes a geometry-optimized MgGa2Pt2 structure. The functional is PBE.

Structure (POSCAR):
```
MgGa2Pt2
1.0
-1.9701 3.0176 -2.4086
1.5312 -1.7189 -3.4059
-7.8180 -5.6384 -0.6694
Pt Ga Mg
4 4 2
Cartesian
-4.2075 -1.8231 -4.6931 Pt
-6.7245 -4.4467 -2.0209 Pt
-4.0494 -2.5166 -1.7909 Pt
-1.5323 0.1070 -4.4630 Pt
-4.6273 -4.3455 -3.6096 Ga
-8.8674 -3.7717 -3.3228 Ga
-3.6295 0.0059 -2.8743 Ga
0.6106 -0.5679 -3.1611 Ga
-1.8071 -2.3105 -3.3668 Mg
-6.4497 -2.0291 -3.1172 Mg
```

Computed properties:
For the formation enthalpy at 0 K, the calculation gives -695.0 meV/atom.

=====

This record from the Alexandria database describes a geometry-optimized Ga2ReHgH structure. The functional is PBE.

Structure (POSCAR):
```
Ga2ReHgH
1.0
-0.6263 -3.5289 -2.6058
1.1922 -2.1840 2.6710
-4.1411 -0.3928 1.5272
Re Ga H Hg
1 2 1 1
Cartesian
-1.7876 -3.0528 0.7962 Re
-0.3132 -1.7644 -1.3029 Ga
-2.0706 -0.1964 0.7636 Ga
0.0000 0.0000 0.0000 H
0.5961 -1.0920 1.3355 Hg
```

=====

| no. | total DFT energy (no corrections) (eV/atom) |
| --- | --- |
| 1 | -4.822 |
| 2 | -5.074 |
| 3 | -8.383 |
| 4 | -7.470 |
| 5 | -3.343 |
| 6 | -7.559 |
| 7 | -5.281 |
| 8 | -5.625 |
| 9 | -1.285 |
| 10 | -4.682 |
| 11 | -4.641 |
| 12 | -3.726 |